# 1
{
  "formula": "SrY4Se5",
  "functional": "PBE-GGA",
  "state": "relaxed",
  "m_tot_mub_per_cell": 0.00,
  "total_energy_ev_per_atom": -6.306,
  "crystal_system": "monoclinic",
  "dos_at_fermi_per_ev_atom": 0.34,
  "e_form_raw_kj_per_mol_fu": -1747,
  "lattice_angstrom": [[6.912, -2.064, 0.000], [6.912, 2.064, 0.000], [-5.015, 0.000, 8.850]],
  "species": ["Sr", "Y", "Y", "Y", "Y", "Se", "Se", "Se", "Se", "Se"],
  "fractional_positions": [[0.000, 0.000, 0.000], [0.197, 0.197, 0.785], [0.406, 0.406, 0.597], [0.594, 0.594, 0.403], [0.803, 0.803, 0.215], [0.000, 0.000, 0.500], [0.201, 0.201, 0.310], [0.390, 0.390, 0.102], [0.610, 0.610, 0.898], [0.799, 0.799, 0.690]]
}

# 2
{
  "formula": "BaTaOs3",
  "functional": "PBE-GGA",
  "state": "relaxed",
  "m_tot_mub_per_cell": 1.04,
  "total_energy_ev_per_atom": -5.748,
  "polymorph_energy_mev_per_atom": 2250,
  "crystal_system": "cubic",
  "delta_e_f_ev_per_atom": 3.74,
  "dos_at_fermi_per_ev_atom": 1.20,
  "lattice_angstrom": [[4.888, 0.000, 0.000], [0.000, 4.888, 0.000], [0.000, 0.000, 4.888]],
  "species": ["Ba", "Ta", "Os", "Os", "Os"],
  "fractional_positions": [[0.000, 0.000, 0.000], [0.500, 0.500, 0.500], [0.000, 0.000, 0.500], [0.000, 0.500, 0.000], [0.500, 0.000, 0.000]]
}

# 3
{
  "formula": "LaTi2BeRu",
  "functional": "PBE-GGA",
  "state": "relaxed",
  "m_tot_mub_per_cell": 0.00,
  "total_energy_ev_per_atom": -6.103,
  "crystal_system": "tetragonal",
  "delta_e_f_ev_per_atom": 0.64,
  "dos_at_fermi_per_ev_atom": 0.71,
  "lattice_angstrom": [[4.324, 0.000, 0.000], [0.000, 4.324, 0.000], [0.000, 0.000, 5.323]],
  "species": ["La", "Ti", "Ti", "Be", "Ru"],
  "fractional_positions": [[0.000, 0.000, 0.000], [0.000, 0.500, 0.500], [0.500, 0.000, 0.500], [0.000, 0.000, 0.500], [0.500, 0.500, 0.000]]
}

# 4
{
  "formula": "Mg4In2Ir",
  "functional": "PBE-GGA",
  "state": "relaxed",
  "m_tot_mub_per_cell": 0.00,
  "total_energy_ev_per_atom": -2.986,
  "crystal_system": "trigonal",
  "delta_e_f_ev_per_atom": -0.03,
  "dos_at_fermi_per_ev_atom": 0.66,
  "lattice_angstrom": [[2.266, 1.308, 9.874], [-2.266, 1.308, 9.874], [0.000, -2.616, 9.874]],
  "species": ["Mg", "Mg", "Mg", "Mg", "In", "In", "Ir"],
  "fractional_positions": [[0.087, 0.087, 0.087], [0.357, 0.357, 0.357], [0.643, 0.643, 0.643], [0.913, 0.913, 0.913], [0.193, 0.193, 0.193], [0.807, 0.807, 0.807], [0.000, 0.000, 0.000]]
}

# 5
{
  "formula": "CsRbS2",
  "functional": "PBE-GGA",
  "state": "relaxed",
  "m_tot_mub_per_cell": 2.00,
  "total_energy_ev_per_atom": -2.933,
  "polymorph_energy_mev_per_atom": 465,
  "crystal_system": "cubic",
  "dos_at_fermi_per_ev_atom": 0.87,
  "e_form_raw_kj_per_mol_fu": -160,
  "lattice_angstrom": [[0.000, 4.127, 4.127], [4.127, 0.000, 4.127], [4.127, 4.127, 0.000]],
  "species": ["Cs", "Rb", "S", "S"],
  "fractional_positions": [[0.000, 0.000, 0.000], [0.500, 0.500, 0.500], [0.250, 0.250, 0.250], [0.750, 0.750, 0.750]]
}

# 6
{
  "formula": "SrAsRu2",
  "functional": "PBE-GGA",
  "state": "relaxed",
  "m_tot_mub_per_cell": 2.47,
  "total_energy_ev_per_atom": -5.695,
  "crystal_system": "cubic",
  "delta_e_f_ev_per_atom": 0.53,
  "dos_at_fermi_per_ev_atom": 1.43,
  "lattice_angstrom": [[0.000, 3.352, 3.352], [3.352, 0.000, 3.352], [3.352, 3.352, 0.000]],
  "species": ["Sr", "As", "Ru", "Ru"],
  "fractional_positions": [[0.000, 0.000, 0.000], [0.250, 0.250, 0.250], [0.500, 0.500, 0.500], [0.750, 0.750, 0.750]]
}

# 7
{
  "formula": "Tm2ScSn3",
  "functional": "PBE-GGA",
  "state": "relaxed",
  "m_tot_mub_per_cell": 0.00,
  "total_energy_ev_per_atom": -5.042,
  "crystal_system": "orthorhombic",
  "delta_e_f_ev_per_atom": -0.49,
  "dos_at_fermi_per_ev_atom": 0.53,
  "lattice_angstrom": [[-1.765, 3.047, 7.527], [1.765, -3.047, 7.527], [1.765, 3.047, -7.527]],
  "species": ["Tm", "Tm", "Sc", "Sn", "Sn", "Sn"],
  "fractional_positions": [[0.169, 0.169, 0.000], [0.831, 0.831, 0.000], [0.500, 0.500, 0.000], [0.000, 0.500, 0.500], [0.339, 0.839, 0.500], [0.661, 0.161, 0.500]]
}

# 8
{
  "formula": "K2GaC",
  "functional": "PBE-GGA",
  "state": "relaxed",
  "m_tot_mub_per_cell": 0.00,
  "total_energy_ev_per_atom": -3.034,
  "polymorph_energy_mev_per_atom": 0,
  "crystal_system": "tetragonal",
  "delta_e_f_ev_per_atom": 0.58,
  "dos_at_fermi_per_ev_atom": 0.63,
  "lattice_angstrom": [[-6.164, 6.164, 1.840], [6.164, -6.164, 1.840], [6.164, 6.164, -1.840]],
  "species": ["K", "K", "K", "K", "Ga", "Ga", "C", "C"],
  "fractional_positions": [[0.375, 0.176, 0.301], [0.824, 0.125, 0.199], [0.875, 0.074, 0.699], [0.926, 0.625, 0.801], [0.250, 0.750, 0.500], [0.500, 0.500, 0.000], [0.000, 0.000, 0.000], [0.750, 0.250, 0.500]]
}

# 9
{
  "formula": "CdRe4Rh",
  "functional": "PBE-GGA",
  "state": "relaxed",
  "m_tot_mub_per_cell": 0.00,
  "total_energy_ev_per_atom": -9.117,
  "crystal_system": "cubic",
  "delta_e_f_ev_per_atom": 0.56,
  "dos_at_fermi_per_ev_atom": 1.06,
  "lattice_angstrom": [[0.000, 3.683, 3.683], [3.683, 0.000, 3.683], [3.683, 3.683, 0.000]],
  "species": ["Cd", "Re", "Re", "Re", "Re", "Rh"],
  "fractional_positions": [[0.000, 0.000, 0.000], [0.126, 0.625, 0.625], [0.625, 0.126, 0.625], [0.625, 0.625, 0.126], [0.625, 0.625, 0.625], [0.250, 0.250, 0.250]]
}

# 10
{
  "formula": "Er2Sc5In",
  "functional": "PBE-GGA",
  "state": "relaxed",
  "m_tot_mub_per_cell": 0.00,
  "total_energy_ev_per_atom": -5.529,
  "crystal_system": "orthorhombic",
  "delta_e_f_ev_per_atom": -0.09,
  "dos_at_fermi_per_ev_atom": 1.74,
  "lattice_angstrom": [[6.608, 0.000, 0.000], [0.000, 13.239, 0.000], [0.000, 0.000, 4.640]],
  "species": ["Er", "Er", "Er", "Er", "Sc", "Sc", "Sc", "Sc", "Sc", "Sc", "Sc", "Sc", "Sc", "Sc", "In", "In"],
  "fractional_positions": [[0.246, 0.128, 0.000], [0.254, 0.628, 0.000], [0.746, 0.372, 0.000], [0.754, 0.872, 0.000], [0.000, 0.000, 0.500], [0.005, 0.256, 0.500], [0.243, 0.875, 0.000], [0.257, 0.375, 0.000], [0.495, 0.756, 0.500], [0.500, 0.500, 0.500], [0.505, 0.244, 0.500], [0.743, 0.625, 0.000], [0.757, 0.125, 0.000], [0.995, 0.744, 0.500], [0.000, 0.500, 0.500], [0.500, 0.000, 0.500]]
}

# 11
{
  "formula": "Pm5ScTl3",
  "functional": "PBE-GGA",
  "state": "relaxed",
  "m_tot_mub_per_cell": 2.97,
  "total_energy_ev_per_atom": -4.382,
  "crystal_system": "hexagonal",
  "delta_e_f_ev_per_atom": -0.25,
  "dos_at_fermi_per_ev_atom": 1.39,
  "lattice_angstrom": [[9.531, 0.000, 0.000], [-4.766, 8.254, 0.000], [0.000, 0.000, 6.771]],
  "species": ["Pm", "Pm", "Pm", "Pm", "Pm", "Pm", "Pm", "Pm", "Pm", "Pm", "Sc", "Sc", "Tl", "Tl", "Tl", "Tl", "Tl", "Tl"],
  "fractional_positions": [[0.000, 0.326, 0.250], [0.000, 0.674, 0.750], [0.326, 0.000, 0.250], [0.326, 0.326, 0.750], [0.333, 0.667, 0.000], [0.333, 0.667, 0.500], [0.667, 0.333, 0.000], [0.667, 0.333, 0.500], [0.674, 0.000, 0.750], [0.674, 0.674, 0.250], [0.000, 0.000, 0.000], [0.000, 0.000, 0.500], [0.000, 0.335, 0.750], [0.000, 0.665, 0.250], [0.335, 0.000, 0.750], [0.335, 0.335, 0.250], [0.665, 0.000, 0.250], [0.665, 0.665, 0.750]]
}

# 12
{
  "formula": "LiCa2In3",
  "functional": "PBE-GGA",
  "state": "relaxed",
  "m_tot_mub_per_cell": 0.00,
  "total_energy_ev_per_atom": -2.647,
  "polymorph_energy_mev_per_atom": 98,
  "crystal_system": "orthorhombic",
  "delta_e_f_ev_per_atom": -0.29,
  "dos_at_fermi_per_ev_atom": 0.39,
  "lattice_angstrom": [[-1.942, 2.392, 8.956], [1.942, -2.392, 8.956], [1.942, 2.392, -8.956]],
  "species": ["Li", "Ca", "Ca", "In", "In", "In"],
  "fractional_positions": [[0.000, 0.000, 0.000], [0.323, 0.823, 0.500], [0.567, 0.567, 0.000], [0.149, 0.149, 0.000], [0.739, 0.239, 0.500], [0.902, 0.402, 0.500]]
}

Number 12 is which compound?
LiCa2In3